Material: PmGdPb
Method: DFT, PBE
State: optimized geometry

Cell lengths 5.4760, 5.4760, 3.3849 Å; angles 90.00, 90.00, 120.00 degrees
Sites, in units of the cell vectors:
Pm 0.0000 0.0000 0.0000
Gd 0.6667 0.3333 0.0050
Pb 0.3333 0.6667 0.5031

Computed properties:
E_form	-0.08	eV/atom
offset from the most stable computed form	0.270	eV/atom
space-group type	P3m1, No. 156
calculated total energy	-22.789	eV/f.u.
V	87.90	Å³ per cell
ρ	9.6	g/cm³